GGA-PBE LiThCd4, relaxed; DFT total energy = -2.2211 eV/atom; ΔE to the lowest computed polymorph = 0.106 eV per atom
1.0
5.890 0.000 0.000
2.945 5.101 0.000
2.945 1.700 4.809
Th Li Cd
1 1 4
Direct
0.000 0.000 0.000 Th
0.250 0.250 0.250 Li
0.625 0.625 0.125 Cd
0.625 0.125 0.625 Cd
0.625 0.625 0.625 Cd
0.125 0.625 0.625 Cd

=====

GGA-PBE LiThCd4, relaxed; DFT total energy = -2.3276 eV/atom; ΔE to the lowest computed polymorph = 0.000 eV per atom
1.0
-2.036 -2.382 -0.817
-0.556 -1.187 4.845
-6.807 5.687 0.613
Cd Li Th
4 1 1
Direct
0.997 0.500 0.821 Cd
0.009 0.000 0.343 Cd
0.003 0.500 0.179 Cd
0.991 0.000 0.657 Cd
0.500 0.500 0.500 Li
0.500 0.000 0.000 Th

=====

GGA-PBE LiTh2Cd5, relaxed; DFT total energy = -2.8138 eV/atom
1.0
-1.555 4.589 -0.094
-3.909 -1.273 2.566
6.788 -0.142 5.694
Cd Li Th
5 1 2
Direct
0.394 0.894 0.787 Cd
0.894 0.394 0.787 Cd
0.106 0.606 0.213 Cd
0.606 0.106 0.213 Cd
0.500 0.500 0.000 Cd
0.000 0.000 0.000 Li
0.255 0.255 0.511 Th
0.745 0.745 0.489 Th

=====

GGA-PBE Li2ThCd, relaxed; DFT total energy = -2.9666 eV/atom; ΔE to the lowest computed polymorph = 0.046 eV per atom
1.0
4.953 0.000 0.000
2.476 4.289 0.000
2.476 1.430 4.044
Th Li Cd
1 2 1
Direct
0.000 0.000 0.000 Th
0.750 0.750 0.750 Li
0.250 0.250 0.250 Li
0.500 0.500 0.500 Cd

=====

GGA-PBE Li5ThCd4, relaxed; DFT total energy = -2.2082 eV/atom
1.0
3.379 0.000 0.000
0.000 3.379 0.000
0.000 0.000 17.357
Cd Li Th
4 5 1
Direct
0.000 0.000 0.221 Cd
0.000 0.000 0.406 Cd
0.000 0.000 0.594 Cd
0.000 0.000 0.779 Cd
0.500 0.500 0.684 Li
0.500 0.500 0.864 Li
0.500 0.500 0.500 Li
0.500 0.500 0.316 Li
0.500 0.500 0.136 Li
0.000 0.000 0.000 Th

=====

GGA-PBE Li2ThCd, relaxed; DFT total energy = -2.8993 eV/atom; ΔE to the lowest computed polymorph = 0.113 eV per atom
1.0
3.252 0.000 0.000
1.626 2.816 0.000
1.626 0.939 10.965
Cd Li Th
1 2 1
Direct
0.500 0.500 0.500 Cd
0.903 0.903 0.291 Li
0.097 0.097 0.709 Li
0.000 0.000 0.000 Th

=====

GGA-PBE LiTh2Cd, relaxed; DFT total energy = -4.3090 eV/atom; ΔE to the lowest computed polymorph = 0.044 eV per atom
1.0
-3.520 1.481 -0.970
-1.227 -3.597 -1.041
-2.255 -1.110 6.491
Th Cd Li
2 1 1
Direct
0.000 0.000 0.757 Th
0.000 0.000 0.243 Th
0.500 0.500 0.500 Cd
0.500 0.500 0.000 Li

=====

GGA-PBE Li4ThCd5, relaxed; DFT total energy = -2.1878 eV/atom
1.0
-1.490 -3.026 -0.358
2.749 -1.507 1.295
-6.794 1.440 16.097
Li Th Cd
4 1 5
Direct
0.000 0.000 0.590 Li
0.000 0.000 0.774 Li
0.000 0.000 0.410 Li
0.000 0.000 0.226 Li
0.000 0.000 0.000 Th
0.500 0.500 0.681 Cd
0.500 0.500 0.500 Cd
0.500 0.500 0.319 Cd
0.500 0.500 0.137 Cd
0.500 0.500 0.863 Cd

=====

GGA-PBE LiThCd2, relaxed; DFT total energy = -2.8353 eV/atom
1.0
-1.769 -0.563 -2.747
-1.393 -2.968 -0.496
-9.637 2.039 3.786
Th Cd Li
1 2 1
Direct
0.500 0.500 0.500 Th
0.259 0.259 0.223 Cd
0.741 0.741 0.777 Cd
0.000 0.000 0.000 Li

=====

GGA-PBE LiThCd, relaxed; DFT total energy = -3.5340 eV/atom; ΔE to the lowest computed polymorph = 0.000 eV per atom
1.0
-2.082 -2.685 0.101
2.717 -2.114 -0.204
3.559 -2.308 12.043
Li Th Cd
2 2 2
Direct
0.750 0.685 0.067 Li
0.250 0.315 0.933 Li
0.750 0.362 0.390 Th
0.250 0.638 0.610 Th
0.250 0.061 0.190 Cd
0.750 0.939 0.810 Cd

=====

GGA-PBE LiTh2Cd, relaxed; DFT total energy = -4.3142 eV/atom; ΔE to the lowest computed polymorph = 0.039 eV per atom
1.0
-1.045 -3.612 -3.815
0.564 -5.226 1.033
-4.326 -3.135 0.392
Th Li Cd
2 1 1
Direct
0.250 0.250 0.250 Th
0.750 0.750 0.750 Th
0.000 0.000 0.000 Li
0.500 0.500 0.500 Cd

=====

GGA-PBE Li2ThCd, relaxed; DFT total energy = -2.9979 eV/atom; ΔE to the lowest computed polymorph = 0.015 eV per atom
1.0
3.316 0.000 0.002
1.658 2.872 0.002
1.663 0.960 10.145
Cd Li Th
1 2 1
Direct
0.666 0.666 0.000 Cd
0.261 0.261 0.218 Li
0.072 0.072 0.782 Li
0.501 0.501 0.500 Th

=====

| no. | E_form (eV per atom) |
| --- | --- |
| 1 | -0.055 |
| 2 | -0.162 |
| 3 | -0.148 |
| 4 | 0.074 |
| 5 | -0.143 |
| 6 | 0.141 |
| 7 | 0.108 |
| 8 | -0.223 |
| 9 | -0.044 |
| 10 | -0.118 |
| 11 | 0.103 |
| 12 | 0.043 |